The following is a DFT calculation (PBE) of a relaxed structure of Pm8Tl2Zn.

Lattice parameters (Å, degrees): 19.3343 5.3048 6.8863 90.00 105.90 90.00
Space group C2/m (No. 12)
Symmetry-distinct sites (fractional):
Pm: 0.0127 0.0000 0.2755 (multiplicity 4)
Pm: 0.0914 0.5000 0.9659 (multiplicity 4)
Pm: 0.1539 0.5000 0.4860 (multiplicity 4)
Pm: 0.2067 0.0000 0.8106 (multiplicity 4)
Tl: 0.1788 0.0000 0.2473 (multiplicity 4)
Zn: 0.0000 0.5000 0.5000 (multiplicity 2)

Computed properties:
- Offset from the most stable computed form: 0.025 eV/atom
- Calculated formation energy: -172 kJ/mol of formula units